{"formula": "YTlAg3", "functional": "meta-GGA SCAN", "state": "single point on PBEsol structure", "energy_ev_per_atom": -38.067, "density_g_cm3": 6.52, "dos_at_fermi_per_ev_atom": 0.347, "lattice": [[5.397, 0.000, 0.000], [0.000, 5.397, 0.000], [0.000, 0.000, 5.397]], "species": ["Y", "Tl", "Ag", "Ag", "Ag"], "fractional_positions": [[0.000, 0.000, 0.000], [0.500, 0.500, 0.500], [0.000, 0.000, 0.500], [0.000, 0.500, 0.000], [0.500, 0.000, 0.000]]}